DFT (PBE-GGA) results for Sm3Cd2Sn after structural relaxation.

abc: 3.801 5.387 8.597
angles: 108.26 90.00 90.00
Element x y z (fractional)
Sm: 0.500 0.500 0.000
Sm: 0.500 0.836 0.671
Sm: 0.500 0.164 0.329
Cd: 0.000 0.324 0.649
Cd: 0.000 0.676 0.351
Sn: 0.000 0.000 0.000

=====

DFT (PBE-GGA) results for SmCdSn4 after structural relaxation.

abc: 6.183 6.183 6.183
angles: 60.00 60.00 60.00
Element x y z (fractional)
Sn: 0.625 0.625 0.125
Sn: 0.625 0.125 0.625
Sn: 0.625 0.625 0.625
Sn: 0.125 0.625 0.625
Sm: 0.000 0.000 0.000
Cd: 0.250 0.250 0.250

=====

DFT (PBE-GGA) results for Sm2CdSn4 after structural relaxation.

For the energy relative to the lowest polymorph listed for this composition, the calculation gives 46.6 meV per atom.

abc: 4.514 4.514 9.637
angles: 90.00 90.00 90.00
Element x y z (fractional)
Sm: 0.500 0.000 0.761
Sm: 0.000 0.500 0.239
Cd: 0.500 0.500 0.000
Sn: 0.500 0.000 0.193
Sn: 0.000 0.500 0.807
Sn: 0.500 0.500 0.500
Sn: 0.000 0.000 0.500

=====

DFT (PBE-GGA) results for Sm4CdSn after structural relaxation.

abc: 5.555 6.569 11.307
angles: 90.00 104.22 90.00
Element x y z (fractional)
Sm: 0.871 0.322 0.743
Sm: 0.129 0.822 0.257
Sm: 0.436 0.823 0.871
Sm: 0.564 0.323 0.129
Sm: 0.708 0.566 0.416
Sm: 0.292 0.066 0.584
Sm: 0.708 0.078 0.416
Sm: 0.292 0.578 0.584
Cd: 0.575 0.823 0.151
Cd: 0.425 0.323 0.849
Sn: 0.844 0.822 0.688
Sn: 0.156 0.322 0.312

=====

DFT (PBE-GGA) results for SmCd4Sn after structural relaxation.

abc: 5.963 5.963 5.963
angles: 60.00 60.00 60.00
Element x y z (fractional)
Sn: 0.000 0.000 0.000
Sm: 0.250 0.250 0.250
Cd: 0.625 0.625 0.125
Cd: 0.625 0.125 0.625
Cd: 0.625 0.625 0.625
Cd: 0.125 0.625 0.625

=====

DFT (PBE-GGA) results for SmCd11Sn after structural relaxation.

abc: 6.379 7.628 7.717
angles: 79.93 65.59 64.96
Element x y z (fractional)
Sm: 0.000 0.000 0.000
Cd: 0.272 0.211 0.216
Cd: 0.728 0.789 0.784
Cd: 0.512 0.789 0.216
Cd: 0.488 0.211 0.784
Cd: 0.343 0.651 0.647
Cd: 0.657 0.349 0.353
Cd: 0.009 0.349 0.647
Cd: 0.991 0.651 0.353
Cd: 0.000 0.500 0.000
Cd: 0.500 0.000 0.500
Cd: 0.000 0.000 0.500
Sn: 0.500 0.500 0.000

=====

We obtain N(E_F) values of 5.24 2.60 4.41 8.12 2.28 4.10 states/eV/f.u. for the records listed above, in that order.
We obtain total magnetic moment values of 0.000 0.000 0.000 0.000 0.000 0.000 μB/atom for the records listed above, in that order.
We obtain formation energy values of -464 -165 -412 -171 -129 -60 meV/atom for the records listed above, in that order.